VASP calculation (PBE-GGA) on Cu3Bi after structural relaxation.

The space group is Fm-3m (No. 225) and the conventional cell measures 6.353, 6.353 and 6.353 Å, with angles of 90.00, 90.00 and 90.00 degrees. The inequivalent atoms are Cu at (0.000, 0.000, 0.000), Cu at (0.250, 0.250, 0.250) and Bi at (0.000, 0.000, 0.500).

The value obtained for the calculated density is 10.350 Mg/m³. The value obtained for the calculated total energy is -56.0 eV per cell.

VASP calculation (PBE-GGA) on Zr2Np after structural relaxation.

The space group is P-62m (No. 189) and the conventional cell measures 5.5081, 5.5081 and 5.3324 Å, with angles of 90.00, 90.00 and 120.00 degrees. The inequivalent atoms are Zr at (0.0000, 0.0000, 0.0000), Zr at (0.0000, 0.6714, 0.5000) and Np at (0.3333, 0.6667, 0.0000).

The value obtained for the calculated density is 9.943 Mg/m³. Its energy relative to the elements is 22 kJ per mole of atoms. The value obtained for the calculated total energy is -58.4 eV per cell. The energy above the most stable polymorph in this dataset is 0.016 eV per atom.

VASP calculation (PBE-GGA) on ErZrSO2 after structural relaxation.

The space group is P3m1 (No. 156) and the conventional cell measures 3.7078, 3.7078 and 6.3555 Å, with angles of 90.00, 90.00 and 120.00 degrees. The inequivalent atoms are Er at (0.0000, 0.0000, 0.0000), Zr at (0.6667, 0.3333, 0.4281), S at (0.3333, 0.6667, 0.7054), O at (0.0000, 0.0000, 0.3599) and O at (0.6667, 0.3333, 0.0850).

The value obtained for the calculated density is 7.078 Mg/m³. The value obtained for the calculated total energy is -41.1 eV per cell.

VASP calculation (PBE-GGA) on SmTm after structural relaxation.

The space group is P6_3/mmc (No. 194) and the conventional cell measures 3.5647, 3.5647 and 11.4262 Å, with angles of 90.00, 90.00 and 120.00 degrees. The inequivalent atoms are Sm at (0.0000, 0.0000, 0.0000) and Tm at (0.3333, 0.6667, 0.2500).

The value obtained for the calculated density is 8.433 Mg/m³. Its energy relative to the elements is 0 kJ per mole of atoms. The value obtained for the calculated total energy is -18.4 eV per cell. The energy above the most stable polymorph in this dataset is 0.000 eV per atom.

VASP calculation (PBE-GGA) on Hf2Mg2Ni3 after structural relaxation.

The space group is R3m (No. 160, hexagonal axes) and the conventional cell measures 4.3552, 4.3552 and 20.9748 Å, with angles of 90.00, 90.00 and 120.00 degrees. The inequivalent atoms are Hf at (0.0000, 0.0000, 0.0000), Hf at (0.0000, 0.0000, 0.4938), Mg at (0.0000, 0.0000, 0.2426), Mg at (0.0000, 0.0000, 0.7484), Ni at (0.0000, 0.0000, 0.3679), Ni at (0.0000, 0.0000, 0.6201) and Ni at (0.0000, 0.0000, 0.8748).

The value obtained for the calculated density is 8.410 Mg/m³. The value obtained for the calculated total energy is -124.4 eV per cell.

VASP calculation (PBE-GGA) on DyTmMg6 after structural relaxation.

The space group is P4/mmm (No. 123) and the conventional cell measures 5.154, 5.154 and 7.306 Å, with angles of 90.00, 90.00 and 90.00 degrees. The inequivalent atoms are Dy at (0.000, 0.000, 0.000), Tm at (0.500, 0.500, 0.500), Mg at (0.000, 0.000, 0.500), Mg at (0.000, 0.500, 0.252) and Mg at (0.500, 0.500, 0.000).

The value obtained for the calculated density is 4.084 Mg/m³. The value obtained for the calculated total energy is -18.8 eV per cell.

Question: Number 1 is which compound?
Answer: Cu3Bi

Question: Look up the calculated density of the first one.
Answer: 10.350 Mg/m³